DFT (PBE) results for an optimized crystal structure of TmInCoRh.

Cell: 6.4953 6.4953 6.4953 Å, 90.00 90.00 90.00°
Closest atoms and distances in Å follow each position.
Space group F-43m (No. 216)
Asymmetric unit:
1 Tm 0.0000 0.0000 0.0000 x4  4 Co 2.81, 4 Rh 2.81
2 In 0.0000 0.0000 0.5000 x4  4 Co 2.81, 4 Rh 2.81
3 Co 0.2500 0.2500 0.7500 x4  4 In 2.81, 4 Tm 2.81
4 Rh 0.2500 0.2500 0.2500 x4  4 In 2.81, 4 Tm 2.81

The density of states at the Fermi level comes out at 3.969 states/eV per cell. As for the total energy: -5.880 eV per atom.

DFT (PBE) results for an optimized crystal structure of UInCoRh.

Cell: 6.5862 6.5862 6.5862 Å, 90.00 90.00 90.00°
Closest atoms and distances in Å follow each position.
Space group F-43m (No. 216)
Asymmetric unit:
1 U 0.0000 0.0000 0.0000 x4  4 Rh 2.85, 4 Co 2.85
2 In 0.0000 0.0000 0.5000 x4  4 Co 2.85, 4 Rh 2.85
3 Co 0.2500 0.2500 0.2500 x4  4 U 2.85, 4 In 2.85
4 Rh 0.2500 0.2500 0.7500 x4  4 In 2.85, 4 U 2.85

The density of states at the Fermi level comes out at 22.217 states/eV per cell. As for the total energy: -7.317 eV per atom.

DFT (PBE) results for an optimized crystal structure of YInCoRh.

Cell: 6.5604 6.5604 6.5604 Å, 90.00 90.00 90.00°
Closest atoms and distances in Å follow each position.
Space group F-43m (No. 216)
Asymmetric unit:
1 Y 0.0000 0.0000 0.0000 x4  4 Co 2.84, 4 Rh 2.84
2 In 0.0000 0.0000 0.5000 x4  4 Rh 2.84, 4 Co 2.84
3 Co 0.2500 0.2500 0.2500 x4  4 In 2.84, 4 Y 2.84
4 Rh 0.2500 0.2500 0.7500 x4  4 In 2.84, 4 Y 2.84

The density of states at the Fermi level comes out at 4.297 states/eV per cell. As for the total energy: -6.313 eV per atom.

DFT (PBE) results for an optimized crystal structure of ZnInCoRh.

Cell: 6.1567 6.1567 6.1567 Å, 90.00 90.00 90.00°
Closest atoms and distances in Å follow each position.
Space group F-43m (No. 216)
Asymmetric unit:
1 Zn 0.0000 0.0000 0.0000 x4  4 Rh 2.67, 4 Co 2.67
2 In 0.0000 0.0000 0.5000 x4  4 Co 2.67, 4 Rh 2.67
3 Co 0.2500 0.2500 0.2500 x4  4 Zn 2.67, 4 In 2.67
4 Rh 0.2500 0.2500 0.7500 x4  4 In 2.67, 4 Zn 2.67

The density of states at the Fermi level comes out at 8.273 states/eV per cell. As for the total energy: -4.766 eV per atom.

DFT (PBE) results for an optimized crystal structure of InCoRu.

Cell: 11.3235 2.8860 5.7363 Å, 90.00 103.66 90.00°
Closest atoms and distances in Å follow each position.
Space group C2/m (No. 12)
Asymmetric unit:
1 In 0.0000 0.0000 0.0000 x2  4 Ru 2.83, 4 In 2.87-2.89, 4 Co 2.92
2 In 0.0000 0.0000 0.5000 x2  4 Co 2.82, 4 Ru 2.85, 4 In 2.87-2.89
3 Co 0.1841 0.5000 0.3524 x4  2 Co 2.45, 2 Ru 2.53
4 Ru 0.1802 0.5000 0.8366 x4  3 Co 2.53-2.79, 2 Ru 2.59, 2 In 2.83

The density of states at the Fermi level comes out at 11.642 states/eV per cell. As for the total energy: -6.197 eV per atom. The energy relative to the lowest polymorph listed for this composition is 0.000 eV per atom.

DFT (PBE) results for an optimized crystal structure of InCo4Ru.

Cell: 6.7884 6.7884 6.7884 Å, 90.00 90.00 90.00°
Closest atoms and distances in Å follow each position.
Space group F-43m (No. 216)
Asymmetric unit:
1 In 0.0000 0.0000 0.0000 x4  12 Co 2.81, 4 Ru 2.94
2 Co 0.1250 0.1250 0.3750 x16  6 Co 2.40
3 Ru 0.2500 0.2500 0.7500 x4  12 Co 2.81, 4 In 2.94

The density of states at the Fermi level comes out at 26.909 states/eV per cell. As for the total energy: -6.594 eV per atom.

DFT (PBE) results for an optimized crystal structure of InCoRu.

Cell: 9.9957 2.9005 6.5763 Å, 90.00 107.85 90.00°
Closest atoms and distances in Å follow each position.
Space group C2/m (No. 12)
Asymmetric unit:
1 In 0.0158 0.0000 0.2900 x4  5 Co 2.69-2.84, 4 Ru 2.77-2.84, 3 In 2.87-2.90
2 Co 0.2036 0.5000 0.6314 x4  2 Ru 2.58, 2 Co 2.63, 5 In 2.69-2.84
3 Ru 0.1579 0.5000 0.0478 x4  2 Ru 2.57, 2 Co 2.58, 4 In 2.77-2.84

The density of states at the Fermi level comes out at 13.514 states/eV per cell. As for the total energy: -6.162 eV per atom. The energy relative to the lowest polymorph listed for this composition is 0.034 eV per atom.

DFT (PBE) results for an optimized crystal structure of InCoRu.

Cell: 2.8187 13.5212 4.6809 Å, 90.00 90.00 90.00°
Closest atoms and distances in Å follow each position.
Space group Cmc2_1 (No. 36)
Asymmetric unit:
1 In 0.0000 0.0780 0.0000 x4  6 Co 2.70-2.79, 3 Ru 2.78-2.88, 2 In 2.82
2 Co 0.0000 0.4010 0.0108 x4  3 Ru 2.53-2.65, 6 In 2.70-2.79, 2 Co 2.82
3 Ru 0.0000 0.2440 0.3507 x4  3 Co 2.53-2.65, 6 Ru 2.74-2.82, 1 In 2.78

The density of states at the Fermi level comes out at 11.005 states/eV per cell. As for the total energy: -6.158 eV per atom. The energy relative to the lowest polymorph listed for this composition is 0.039 eV per atom.